Below is an optimized crystal structure of AcGdErGa, with properties calculated at the PBE-GGA level.

Cell lengths 5.497, 5.497, 5.497 Å; angles 60.00, 60.00, 60.00 degrees
Element x y z (fractional)
1 Ac 0.000 0.000 0.000
2 Gd 0.250 0.250 0.250
3 Ga 0.500 0.500 0.500
4 Er 0.750 0.750 0.750

Calculated values
- density (g/cm³) = 8.78
- energy of formation (eV per atom) = 0.04